# 1
The following is a GGA-PBEsol calculation of a relaxed AgSnSeBr2 crystal, from Alexandria.

Cell and atoms, written as CIF:
```
data_AgSnSeBr2
_chemical_formula_sum 'Ag1 Sn1 Se1 Br2'
_symmetry_space_group_name_H-M 'P 4/m m m'
_symmetry_Int_Tables_number 123
_symmetry_space_group_name_Hall '-P 4 2'
_cell_length_a 5.427
_cell_length_b 5.427
_cell_length_c 5.237
_cell_angle_alpha 90.00
_cell_angle_beta 90.00
_cell_angle_gamma 90.00
loop_
_atom_site_label
_atom_site_fract_x
_atom_site_fract_y
_atom_site_fract_z
_atom_site_occupancy
Ag1 0.000 0.000 0.000 1
Sn1 0.500 0.500 0.500 1
Se1 0.500 0.500 0.000 1
Br1 0.000 0.500 0.500 1
```

Computed properties:
Crystal system   tetragonal
DFT total energy   -0.2162 Ry/atom
Magnetization   0.000 μB per atom

# 2
The following is a GGA-PBEsol calculation of a relaxed SrAgSeBr2 crystal, from Alexandria.

Cell and atoms, written as CIF:
```
data_SrAgSeBr2
_chemical_formula_sum 'Sr1 Ag1 Se1 Br2'
_symmetry_space_group_name_H-M 'P 4/m m m'
_symmetry_Int_Tables_number 123
_symmetry_space_group_name_Hall '-P 4 2'
_cell_length_a 5.161
_cell_length_b 5.161
_cell_length_c 5.205
_cell_angle_alpha 90.00
_cell_angle_beta 90.00
_cell_angle_gamma 90.00
loop_
_atom_site_label
_atom_site_fract_x
_atom_site_fract_y
_atom_site_fract_z
_atom_site_occupancy
Sr1 0.000 0.000 0.000 1
Ag1 0.500 0.500 0.500 1
Se1 0.500 0.500 0.000 1
Br1 0.000 0.500 0.500 1
```

Computed properties:
Crystal system   tetragonal
DFT total energy   -0.2519 Ry/atom
Magnetization   0.000 μB per atom

# 3
The following is a GGA-PBEsol calculation of a relaxed TcAgSe2Br crystal, from Alexandria.

Cell and atoms, written as CIF:
```
data_TcAgSe2Br
_chemical_formula_sum 'Tc1 Ag1 Se2 Br1'
_symmetry_space_group_name_H-M 'P 4/m m m'
_symmetry_Int_Tables_number 123
_symmetry_space_group_name_Hall '-P 4 2'
_cell_length_a 4.994
_cell_length_b 4.994
_cell_length_c 5.020
_cell_angle_alpha 90.00
_cell_angle_beta 90.00
_cell_angle_gamma 90.00
loop_
_atom_site_label
_atom_site_fract_x
_atom_site_fract_y
_atom_site_fract_z
_atom_site_occupancy
Tc1 0.000 0.000 0.000 1
Ag1 0.500 0.500 0.500 1
Se1 0.000 0.500 0.500 1
Br1 0.500 0.500 0.000 1
```

Computed properties:
Crystal system   tetragonal
DFT total energy   -0.2729 Ry/atom
Magnetization   0.959 μB per atom

# 4
The following is a GGA-PBEsol calculation of a relaxed AgWSeBr2 crystal, from Alexandria.

Cell and atoms, written as CIF:
```
data_AgWSeBr2
_chemical_formula_sum 'Ag1 W1 Se1 Br2'
_symmetry_space_group_name_H-M 'P 4/m m m'
_symmetry_Int_Tables_number 123
_symmetry_space_group_name_Hall '-P 4 2'
_cell_length_a 5.093
_cell_length_b 5.093
_cell_length_c 4.789
_cell_angle_alpha 90.00
_cell_angle_beta 90.00
_cell_angle_gamma 90.00
loop_
_atom_site_label
_atom_site_fract_x
_atom_site_fract_y
_atom_site_fract_z
_atom_site_occupancy
Ag1 0.000 0.000 0.000 1
W1 0.500 0.500 0.500 1
Se1 0.500 0.500 0.000 1
Br1 0.000 0.500 0.500 1
```

Computed properties:
Crystal system   tetragonal
DFT total energy   -0.3289 Ry/atom
Magnetization   0.147 μB per atom